Record 1
A plane-wave DFT calculation with PBE was carried out for a relaxed structure of La2TbMg3In3.

- crystal system = orthorhombic

a = 4.794 Å, b = 13.257 Å, c = 7.808 Å
α = 90.00°, β = 90.00°, γ = 90.00°
Space group Amm2 (No. 38)
Symmetry-distinct sites (fractional):
La1 0.000 0.215 0.000
Tb1 0.000 0.000 0.357
Mg1 0.500 0.000 0.022
Mg2 0.500 0.121 0.662
In1 0.000 0.000 0.773
In2 0.500 0.161 0.285



Record 2
A plane-wave DFT calculation with PBE was carried out for a relaxed structure of LaMgZnIn2.

- crystal system = tetragonal

a = 4.559 Å, b = 4.559 Å, c = 11.934 Å
α = 90.00°, β = 90.00°, γ = 90.00°
Space group I4mm (No. 107)
Symmetry-distinct sites (fractional):
La1 0.000 0.000 0.000
Mg1 0.000 0.000 0.615
Zn1 0.000 0.000 0.401
In1 0.000 0.500 0.264



| no. | E_tot (eV per cell) |
| --- | --- |
| 1 | -62.3 |
| 2 | -29.7 |